Here is a relaxed structure of PmGdHoMg from the Alexandria database. Energies are from GGA-PBE.

The calculation puts the formation energy at 0.03 eV/atom.

abc: 7.8479 7.8479 7.8479
angles: 90.00 90.00 90.00
With the nearest neighbours (Å) after each atom.
Fractional coordinates of all 16 atoms:
Pm: 0.0000 0.0000 0.0000  4 Mg 3.40, 4 Ho 3.40
Pm: 0.0000 0.5000 0.5000  4 Mg 3.40, 4 Ho 3.40
Pm: 0.5000 0.0000 0.5000  4 Mg 3.40, 4 Ho 3.40
Pm: 0.5000 0.5000 0.0000  4 Mg 3.40, 4 Ho 3.40
Gd: 0.0000 0.0000 0.5000  4 Ho 3.40, 4 Mg 3.40
Gd: 0.0000 0.5000 0.0000  4 Ho 3.40, 4 Mg 3.40
Gd: 0.5000 0.0000 0.0000  4 Ho 3.40, 4 Mg 3.40
Gd: 0.5000 0.5000 0.5000  4 Ho 3.40, 4 Mg 3.40
Ho: 0.2500 0.2500 0.2500  4 Gd 3.40, 4 Pm 3.40
Ho: 0.2500 0.7500 0.7500  4 Pm 3.40, 4 Gd 3.40
Ho: 0.7500 0.2500 0.7500  4 Pm 3.40, 4 Gd 3.40
Ho: 0.7500 0.7500 0.2500  4 Pm 3.40, 4 Gd 3.40
Mg: 0.2500 0.2500 0.7500  4 Gd 3.40, 4 Pm 3.40
Mg: 0.2500 0.7500 0.2500  4 Gd 3.40, 4 Pm 3.40
Mg: 0.7500 0.2500 0.2500  4 Gd 3.40, 4 Pm 3.40
Mg: 0.7500 0.7500 0.7500  4 Gd 3.40, 4 Pm 3.40



Here is a relaxed structure of PrGdHoMg from the Alexandria database. Energies are from GGA-PBE.

The calculation puts the formation energy at 0.02 eV/atom.

abc: 7.8915 7.8915 7.8915
angles: 90.00 90.00 90.00
With the nearest neighbours (Å) after each atom.
Fractional coordinates of all 16 atoms:
Pr: 0.0000 0.0000 0.0000  4 Mg 3.42, 4 Ho 3.42
Pr: 0.0000 0.5000 0.5000  4 Mg 3.42, 4 Ho 3.42
Pr: 0.5000 0.0000 0.5000  4 Mg 3.42, 4 Ho 3.42
Pr: 0.5000 0.5000 0.0000  4 Mg 3.42, 4 Ho 3.42
Gd: 0.0000 0.0000 0.5000  4 Ho 3.42, 4 Mg 3.42
Gd: 0.0000 0.5000 0.0000  4 Ho 3.42, 4 Mg 3.42
Gd: 0.5000 0.0000 0.0000  4 Ho 3.42, 4 Mg 3.42
Gd: 0.5000 0.5000 0.5000  4 Ho 3.42, 4 Mg 3.42
Ho: 0.2500 0.2500 0.7500  4 Pr 3.42, 4 Gd 3.42
Ho: 0.2500 0.7500 0.2500  4 Pr 3.42, 4 Gd 3.42
Ho: 0.7500 0.2500 0.2500  4 Pr 3.42, 4 Gd 3.42
Ho: 0.7500 0.7500 0.7500  4 Pr 3.42, 4 Gd 3.42
Mg: 0.2500 0.2500 0.2500  4 Gd 3.42, 4 Pr 3.42
Mg: 0.2500 0.7500 0.7500  4 Gd 3.42, 4 Pr 3.42
Mg: 0.7500 0.2500 0.7500  4 Gd 3.42, 4 Pr 3.42
Mg: 0.7500 0.7500 0.2500  4 Gd 3.42, 4 Pr 3.42



Here is a relaxed structure of GdHoPuMg from the Alexandria database. Energies are from GGA-PBE.

The calculation puts the formation energy at 0.14 eV/atom.

abc: 7.7230 7.7230 7.7230
angles: 90.00 90.00 90.00
With the nearest neighbours (Å) after each atom.
Fractional coordinates of all 16 atoms:
Gd: 0.0000 0.0000 0.0000  4 Mg 3.34, 4 Pu 3.34
Gd: 0.0000 0.5000 0.5000  4 Mg 3.34, 4 Pu 3.34
Gd: 0.5000 0.0000 0.5000  4 Mg 3.34, 4 Pu 3.34
Gd: 0.5000 0.5000 0.0000  4 Mg 3.34, 4 Pu 3.34
Ho: 0.0000 0.0000 0.5000  4 Mg 3.34, 4 Pu 3.34
Ho: 0.0000 0.5000 0.0000  4 Mg 3.34, 4 Pu 3.34
Ho: 0.5000 0.0000 0.0000  4 Mg 3.34, 4 Pu 3.34
Ho: 0.5000 0.5000 0.5000  4 Mg 3.34, 4 Pu 3.34
Pu: 0.2500 0.2500 0.2500  4 Gd 3.34, 4 Ho 3.34
Pu: 0.2500 0.7500 0.7500  4 Gd 3.34, 4 Ho 3.34
Pu: 0.7500 0.2500 0.7500  4 Gd 3.34, 4 Ho 3.34
Pu: 0.7500 0.7500 0.2500  4 Gd 3.34, 4 Ho 3.34
Mg: 0.2500 0.2500 0.7500  4 Gd 3.34, 4 Ho 3.34
Mg: 0.2500 0.7500 0.2500  4 Gd 3.34, 4 Ho 3.34
Mg: 0.7500 0.2500 0.2500  4 Gd 3.34, 4 Ho 3.34
Mg: 0.7500 0.7500 0.7500  4 Gd 3.34, 4 Ho 3.34



Here is a relaxed structure of GdHoMgRu from the Alexandria database. Energies are from GGA-PBE.

The calculation puts the formation energy at -0.18 eV/atom.

abc: 7.1161 7.1161 7.1161
angles: 90.00 90.00 90.00
With the nearest neighbours (Å) after each atom.
Fractional coordinates of all 16 atoms:
Gd: 0.0000 0.0000 0.0000  4 Mg 3.08, 4 Ru 3.08
Gd: 0.0000 0.5000 0.5000  4 Mg 3.08, 4 Ru 3.08
Gd: 0.5000 0.0000 0.5000  4 Mg 3.08, 4 Ru 3.08
Gd: 0.5000 0.5000 0.0000  4 Mg 3.08, 4 Ru 3.08
Ho: 0.0000 0.0000 0.5000  4 Ru 3.08, 4 Mg 3.08
Ho: 0.0000 0.5000 0.0000  4 Ru 3.08, 4 Mg 3.08
Ho: 0.5000 0.0000 0.0000  4 Ru 3.08, 4 Mg 3.08
Ho: 0.5000 0.5000 0.5000  4 Ru 3.08, 4 Mg 3.08
Mg: 0.2500 0.2500 0.2500  4 Ho 3.08, 4 Gd 3.08
Mg: 0.2500 0.7500 0.7500  4 Ho 3.08, 4 Gd 3.08
Mg: 0.7500 0.2500 0.7500  4 Ho 3.08, 4 Gd 3.08
Mg: 0.7500 0.7500 0.2500  4 Ho 3.08, 4 Gd 3.08
Ru: 0.2500 0.2500 0.7500  4 Gd 3.08, 4 Ho 3.08
Ru: 0.2500 0.7500 0.2500  4 Gd 3.08, 4 Ho 3.08
Ru: 0.7500 0.2500 0.2500  4 Gd 3.08, 4 Ho 3.08
Ru: 0.7500 0.7500 0.7500  4 Gd 3.08, 4 Ho 3.08



Here is a relaxed structure of SmGdHoMg from the Alexandria database. Energies are from GGA-PBE.

The calculation puts the formation energy at 0.03 eV/atom.

abc: 7.8334 7.8334 7.8334
angles: 90.00 90.00 90.00
With the nearest neighbours (Å) after each atom.
Fractional coordinates of all 16 atoms:
Sm: 0.0000 0.0000 0.0000  4 Ho 3.39, 4 Mg 3.39
Sm: 0.0000 0.5000 0.5000  4 Ho 3.39, 4 Mg 3.39
Sm: 0.5000 0.0000 0.5000  4 Ho 3.39, 4 Mg 3.39
Sm: 0.5000 0.5000 0.0000  4 Ho 3.39, 4 Mg 3.39
Gd: 0.0000 0.0000 0.5000  4 Ho 3.39, 4 Mg 3.39
Gd: 0.0000 0.5000 0.0000  4 Ho 3.39, 4 Mg 3.39
Gd: 0.5000 0.0000 0.0000  4 Ho 3.39, 4 Mg 3.39
Gd: 0.5000 0.5000 0.5000  4 Ho 3.39, 4 Mg 3.39
Ho: 0.2500 0.2500 0.2500  4 Gd 3.39, 4 Sm 3.39
Ho: 0.2500 0.7500 0.7500  4 Gd 3.39, 4 Sm 3.39
Ho: 0.7500 0.2500 0.7500  4 Gd 3.39, 4 Sm 3.39
Ho: 0.7500 0.7500 0.2500  4 Gd 3.39, 4 Sm 3.39
Mg: 0.2500 0.2500 0.7500  4 Gd 3.39, 4 Sm 3.39
Mg: 0.2500 0.7500 0.2500  4 Gd 3.39, 4 Sm 3.39
Mg: 0.7500 0.2500 0.2500  4 Gd 3.39, 4 Sm 3.39
Mg: 0.7500 0.7500 0.7500  4 Gd 3.39, 4 Sm 3.39



Here is a relaxed structure of GdHoMgSn from the Alexandria database. Energies are from GGA-PBE.

The calculation puts the formation energy at -0.41 eV/atom.

abc: 7.4978 7.4978 7.4978
angles: 90.00 90.00 90.00
With the nearest neighbours (Å) after each atom.
Fractional coordinates of all 16 atoms:
Gd: 0.0000 0.0000 0.0000  4 Mg 3.25, 4 Sn 3.25
Gd: 0.0000 0.5000 0.5000  4 Mg 3.25, 4 Sn 3.25
Gd: 0.5000 0.0000 0.5000  4 Mg 3.25, 4 Sn 3.25
Gd: 0.5000 0.5000 0.0000  4 Mg 3.25, 4 Sn 3.25
Ho: 0.0000 0.0000 0.5000  4 Sn 3.25, 4 Mg 3.25
Ho: 0.0000 0.5000 0.0000  4 Sn 3.25, 4 Mg 3.25
Ho: 0.5000 0.0000 0.0000  4 Sn 3.25, 4 Mg 3.25
Ho: 0.5000 0.5000 0.5000  4 Sn 3.25, 4 Mg 3.25
Mg: 0.2500 0.2500 0.2500  4 Ho 3.25, 4 Gd 3.25
Mg: 0.2500 0.7500 0.7500  4 Gd 3.25, 4 Ho 3.25
Mg: 0.7500 0.2500 0.7500  4 Gd 3.25, 4 Ho 3.25
Mg: 0.7500 0.7500 0.2500  4 Gd 3.25, 4 Ho 3.25
Sn: 0.2500 0.2500 0.7500  4 Gd 3.25, 4 Ho 3.25
Sn: 0.2500 0.7500 0.2500  4 Gd 3.25, 4 Ho 3.25
Sn: 0.7500 0.2500 0.2500  4 Gd 3.25, 4 Ho 3.25
Sn: 0.7500 0.7500 0.7500  4 Gd 3.25, 4 Ho 3.25



Here is a relaxed structure of SrGdHoMg from the Alexandria database. Energies are from GGA-PBE.

The calculation puts the formation energy at 0.15 eV/atom.

abc: 8.1020 8.1020 8.1020
angles: 90.00 90.00 90.00
With the nearest neighbours (Å) after each atom.
Fractional coordinates of all 16 atoms:
Sr: 0.0000 0.0000 0.0000  4 Ho 3.51, 4 Mg 3.51
Sr: 0.0000 0.5000 0.5000  4 Ho 3.51, 4 Mg 3.51
Sr: 0.5000 0.0000 0.5000  4 Ho 3.51, 4 Mg 3.51
Sr: 0.5000 0.5000 0.0000  4 Ho 3.51, 4 Mg 3.51
Gd: 0.0000 0.0000 0.5000  4 Mg 3.51, 4 Ho 3.51
Gd: 0.0000 0.5000 0.0000  4 Mg 3.51, 4 Ho 3.51
Gd: 0.5000 0.0000 0.0000  4 Mg 3.51, 4 Ho 3.51
Gd: 0.5000 0.5000 0.5000  4 Mg 3.51, 4 Ho 3.51
Ho: 0.2500 0.2500 0.2500  4 Gd 3.51, 4 Sr 3.51
Ho: 0.2500 0.7500 0.7500  4 Gd 3.51, 4 Sr 3.51
Ho: 0.7500 0.2500 0.7500  4 Gd 3.51, 4 Sr 3.51
Ho: 0.7500 0.7500 0.2500  4 Gd 3.51, 4 Sr 3.51
Mg: 0.2500 0.2500 0.7500  4 Gd 3.51, 4 Sr 3.51
Mg: 0.2500 0.7500 0.2500  4 Gd 3.51, 4 Sr 3.51
Mg: 0.7500 0.2500 0.2500  4 Gd 3.51, 4 Sr 3.51
Mg: 0.7500 0.7500 0.7500  4 Gd 3.51, 4 Sr 3.51



Here is a relaxed structure of TbGdHoMg from the Alexandria database. Energies are from GGA-PBE.

The calculation puts the formation energy at 0.04 eV/atom.

abc: 7.7883 7.7883 7.7883
angles: 90.00 90.00 90.00
With the nearest neighbours (Å) after each atom.
Fractional coordinates of all 16 atoms:
Tb: 0.0000 0.0000 0.0000  4 Ho 3.37, 4 Mg 3.37
Tb: 0.0000 0.5000 0.5000  4 Ho 3.37, 4 Mg 3.37
Tb: 0.5000 0.0000 0.5000  4 Ho 3.37, 4 Mg 3.37
Tb: 0.5000 0.5000 0.0000  4 Ho 3.37, 4 Mg 3.37
Gd: 0.0000 0.0000 0.5000  4 Mg 3.37, 4 Ho 3.37
Gd: 0.0000 0.5000 0.0000  4 Mg 3.37, 4 Ho 3.37
Gd: 0.5000 0.0000 0.0000  4 Mg 3.37, 4 Ho 3.37
Gd: 0.5000 0.5000 0.5000  4 Mg 3.37, 4 Ho 3.37
Ho: 0.2500 0.2500 0.2500  4 Gd 3.37, 4 Tb 3.37
Ho: 0.2500 0.7500 0.7500  4 Gd 3.37, 4 Tb 3.37
Ho: 0.7500 0.2500 0.7500  4 Gd 3.37, 4 Tb 3.37
Ho: 0.7500 0.7500 0.2500  4 Gd 3.37, 4 Tb 3.37
Mg: 0.2500 0.2500 0.7500  4 Gd 3.37, 4 Tb 3.37
Mg: 0.2500 0.7500 0.2500  4 Gd 3.37, 4 Tb 3.37
Mg: 0.7500 0.2500 0.2500  4 Gd 3.37, 4 Tb 3.37
Mg: 0.7500 0.7500 0.7500  4 Gd 3.37, 4 Tb 3.37



Here is a relaxed structure of GdHoMgTl from the Alexandria database. Energies are from GGA-PBE.

The calculation puts the formation energy at -0.24 eV/atom.

abc: 7.5729 7.5729 7.5729
angles: 90.00 90.00 90.00
With the nearest neighbours (Å) after each atom.
Fractional coordinates of all 16 atoms:
Gd: 0.0000 0.0000 0.0000  4 Tl 3.28, 4 Mg 3.28
Gd: 0.0000 0.5000 0.5000  4 Tl 3.28, 4 Mg 3.28
Gd: 0.5000 0.0000 0.5000  4 Tl 3.28, 4 Mg 3.28
Gd: 0.5000 0.5000 0.0000  4 Tl 3.28, 4 Mg 3.28
Ho: 0.0000 0.0000 0.5000  4 Tl 3.28, 4 Mg 3.28
Ho: 0.0000 0.5000 0.0000  4 Tl 3.28, 4 Mg 3.28
Ho: 0.5000 0.0000 0.0000  4 Tl 3.28, 4 Mg 3.28
Ho: 0.5000 0.5000 0.5000  4 Tl 3.28, 4 Mg 3.28
Mg: 0.2500 0.2500 0.2500  4 Gd 3.28, 4 Ho 3.28
Mg: 0.2500 0.7500 0.7500  4 Gd 3.28, 4 Ho 3.28
Mg: 0.7500 0.2500 0.7500  4 Gd 3.28, 4 Ho 3.28
Mg: 0.7500 0.7500 0.2500  4 Gd 3.28, 4 Ho 3.28
Tl: 0.2500 0.2500 0.7500  4 Gd 3.28, 4 Ho 3.28
Tl: 0.2500 0.7500 0.2500  4 Gd 3.28, 4 Ho 3.28
Tl: 0.7500 0.2500 0.2500  4 Gd 3.28, 4 Ho 3.28
Tl: 0.7500 0.7500 0.7500  4 Gd 3.28, 4 Ho 3.28



Here is a relaxed structure of GdHoTmMg from the Alexandria database. Energies are from GGA-PBE.

The calculation puts the formation energy at 0.03 eV/atom.

abc: 7.7417 7.7417 7.7417
angles: 90.00 90.00 90.00
With the nearest neighbours (Å) after each atom.
Fractional coordinates of all 16 atoms:
Gd: 0.0000 0.0000 0.0000  4 Mg 3.35, 4 Tm 3.35
Gd: 0.0000 0.5000 0.5000  4 Tm 3.35, 4 Mg 3.35
Gd: 0.5000 0.0000 0.5000  4 Tm 3.35, 4 Mg 3.35
Gd: 0.5000 0.5000 0.0000  4 Tm 3.35, 4 Mg 3.35
Ho: 0.0000 0.0000 0.5000  4 Mg 3.35, 4 Tm 3.35
Ho: 0.0000 0.5000 0.0000  4 Mg 3.35, 4 Tm 3.35
Ho: 0.5000 0.0000 0.0000  4 Mg 3.35, 4 Tm 3.35
Ho: 0.5000 0.5000 0.5000  4 Mg 3.35, 4 Tm 3.35
Tm: 0.2500 0.2500 0.7500  4 Gd 3.35, 4 Ho 3.35
Tm: 0.2500 0.7500 0.2500  4 Gd 3.35, 4 Ho 3.35
Tm: 0.7500 0.2500 0.2500  4 Gd 3.35, 4 Ho 3.35
Tm: 0.7500 0.7500 0.7500  4 Gd 3.35, 4 Ho 3.35
Mg: 0.2500 0.2500 0.2500  4 Gd 3.35, 4 Ho 3.35
Mg: 0.2500 0.7500 0.7500  4 Gd 3.35, 4 Ho 3.35
Mg: 0.7500 0.2500 0.7500  4 Gd 3.35, 4 Ho 3.35
Mg: 0.7500 0.7500 0.2500  4 Gd 3.35, 4 Ho 3.35



Here is a relaxed structure of GdYHoMg from the Alexandria database. Energies are from GGA-PBE.

The calculation puts the formation energy at 0.04 eV/atom.

abc: 7.7957 7.7957 7.7957
angles: 90.00 90.00 90.00
With the nearest neighbours (Å) after each atom.
Fractional coordinates of all 16 atoms:
Gd: 0.0000 0.0000 0.0000  4 Ho 3.38, 4 Mg 3.38
Gd: 0.0000 0.5000 0.5000  4 Ho 3.38, 4 Mg 3.38
Gd: 0.5000 0.0000 0.5000  4 Ho 3.38, 4 Mg 3.38
Gd: 0.5000 0.5000 0.0000  4 Ho 3.38, 4 Mg 3.38
Y: 0.0000 0.0000 0.5000  4 Ho 3.38, 4 Mg 3.38
Y: 0.0000 0.5000 0.0000  4 Ho 3.38, 4 Mg 3.38
Y: 0.5000 0.0000 0.0000  4 Ho 3.38, 4 Mg 3.38
Y: 0.5000 0.5000 0.5000  4 Ho 3.38, 4 Mg 3.38
Ho: 0.2500 0.2500 0.2500  4 Gd 3.38, 4 Y 3.38
Ho: 0.2500 0.7500 0.7500  4 Gd 3.38, 4 Y 3.38
Ho: 0.7500 0.2500 0.7500  4 Gd 3.38, 4 Y 3.38
Ho: 0.7500 0.7500 0.2500  4 Gd 3.38, 4 Y 3.38
Mg: 0.2500 0.2500 0.7500  4 Gd 3.38, 4 Y 3.38
Mg: 0.2500 0.7500 0.2500  4 Gd 3.38, 4 Y 3.38
Mg: 0.7500 0.2500 0.2500  4 Gd 3.38, 4 Y 3.38
Mg: 0.7500 0.7500 0.7500  4 Gd 3.38, 4 Y 3.38



Here is a relaxed structure of GdHoMgZn from the Alexandria database. Energies are from GGA-PBE.

The calculation puts the formation energy at -0.18 eV/atom.

abc: 7.3643 7.3643 7.3643
angles: 90.00 90.00 90.00
With the nearest neighbours (Å) after each atom.
Fractional coordinates of all 16 atoms:
Gd: 0.0000 0.0000 0.0000  4 Mg 3.19, 4 Zn 3.19
Gd: 0.0000 0.5000 0.5000  4 Mg 3.19, 4 Zn 3.19
Gd: 0.5000 0.0000 0.5000  4 Mg 3.19, 4 Zn 3.19
Gd: 0.5000 0.5000 0.0000  4 Mg 3.19, 4 Zn 3.19
Ho: 0.0000 0.0000 0.5000  4 Mg 3.19, 4 Zn 3.19
Ho: 0.0000 0.5000 0.0000  4 Mg 3.19, 4 Zn 3.19
Ho: 0.5000 0.0000 0.0000  4 Mg 3.19, 4 Zn 3.19
Ho: 0.5000 0.5000 0.5000  4 Mg 3.19, 4 Zn 3.19
Mg: 0.2500 0.2500 0.7500  4 Gd 3.19, 4 Ho 3.19
Mg: 0.2500 0.7500 0.2500  4 Gd 3.19, 4 Ho 3.19
Mg: 0.7500 0.2500 0.2500  4 Gd 3.19, 4 Ho 3.19
Mg: 0.7500 0.7500 0.7500  4 Gd 3.19, 4 Ho 3.19
Zn: 0.2500 0.2500 0.2500  4 Gd 3.19, 4 Ho 3.19
Zn: 0.2500 0.7500 0.7500  4 Gd 3.19, 4 Ho 3.19
Zn: 0.7500 0.2500 0.7500  4 Gd 3.19, 4 Ho 3.19
Zn: 0.7500 0.7500 0.2500  4 Gd 3.19, 4 Ho 3.19



no.,total DFT energy (no corrections) (eV/atom)
1,-6.225
2,-6.235
3,-8.504
4,-7.565
5,-6.215
6,-6.472
7,-5.335
8,-6.186
9,-5.895
10,-6.150
11,-6.643
12,-5.564